[1]
A plane-wave DFT calculation with PBE was carried out for crystalline HfZn4Ag at its relaxed geometry.

Cell and atoms, written as POSCAR:
```
HfZn4Ag
1.0
0.000 3.653 3.653
3.653 0.000 3.653
3.653 3.653 0.000
Hf Zn Ag
1 4 1
Cartesian
0.000 0.000 0.000 Hf
2.732 2.732 2.732 Zn
4.573 4.573 2.732 Zn
4.573 2.732 4.573 Zn
2.732 4.573 4.573 Zn
5.479 5.479 5.479 Ag
```

Calculated values
DFT formation energy	-0.002	eV per atom
E above lowest polymorph	86.0	meV/atom



[2]
A plane-wave DFT calculation with PBE was carried out for crystalline HfZn3Ag at its relaxed geometry.

Cell and atoms, written as POSCAR:
```
HfZn3Ag
1.0
4.688 0.000 0.000
0.000 4.688 0.000
0.000 0.000 4.688
Hf Zn Ag
1 3 1
Cartesian
0.000 0.000 0.000 Hf
0.000 2.344 2.344 Zn
2.344 0.000 2.344 Zn
2.344 2.344 0.000 Zn
2.344 2.344 2.344 Ag
```

Calculated values
DFT formation energy	0.618	eV per atom
E above lowest polymorph	601.5	meV/atom



[3]
A plane-wave DFT calculation with PBE was carried out for crystalline HfZn3Ag at its relaxed geometry.

Cell and atoms, written as POSCAR:
```
HfZn3Ag
1.0
5.602 0.000 0.000
0.000 4.750 0.000
-1.460 0.000 6.498
Hf Zn Ag
2 6 2
Cartesian
0.853 1.187 0.612 Hf
3.289 3.562 5.886 Hf
-0.453 3.562 2.263 Zn
2.323 3.562 1.009 Zn
2.071 0.000 3.249 Zn
2.071 2.375 3.249 Zn
1.819 1.187 5.489 Zn
4.595 1.187 4.235 Zn
0.312 3.562 4.936 Ag
3.830 1.187 1.562 Ag
```

Calculated values
DFT formation energy	0.017	eV per atom
E above lowest polymorph	0.0	meV/atom



[4]
A plane-wave DFT calculation with PBE was carried out for crystalline Hf2Zn16Ag at its relaxed geometry.

Cell and atoms, written as POSCAR:
```
Hf2Zn16Ag
1.0
4.408 2.545 4.331
-4.408 2.545 4.331
0.000 -5.090 4.331
Hf Zn Ag
2 16 1
Cartesian
0.000 0.000 0.000 Hf
0.000 0.000 4.223 Hf
0.000 -2.420 2.337 Zn
-2.096 1.210 2.337 Zn
-2.225 -1.285 6.459 Zn
0.000 -2.633 6.235 Zn
-2.280 1.316 6.235 Zn
-1.338 -2.324 8.620 Zn
-2.682 0.004 8.620 Zn
2.096 1.210 2.337 Zn
1.338 -2.324 8.620 Zn
-1.344 2.321 8.620 Zn
2.225 -1.285 6.459 Zn
0.000 2.569 6.459 Zn
0.000 0.000 10.043 Zn
2.280 1.316 6.235 Zn
2.682 0.004 8.620 Zn
1.344 2.321 8.620 Zn
0.000 0.000 7.336 Ag
```

Calculated values
DFT formation energy	-0.076	eV per atom



no.,mass density (Mg/m³)
1,9.3
2,7.8
3,9.3
4,8.6